First-principles (PBE) data for a geometry-optimized AsPSe2S structure, as listed in the Alexandria database.

POSCAR file:
```
AsPSe2S
1.0
-1.0544 3.8112 -2.6378
-2.9684 -2.6329 -2.6176
-3.6646 1.0980 3.0513
P As S Se
1 1 1 2
direct
0.0000 0.0000 0.0000
0.0000 0.0000 0.5000
0.5000 0.5000 0.5000
0.0000 0.5000 0.0000
0.5000 0.0000 0.0000
```

Summary:
The value obtained for the density is 4.4 Mg/m³. As for the energy above the most stable polymorph in this dataset: 0 meV/atom. Its total energy is -0.24791 Ry/atom.



First-principles (PBE) data for a geometry-optimized As2PSeS structure, as listed in the Alexandria database.

POSCAR file:
```
As2PSeS
1.0
-2.4849 -3.3605 -2.5894
3.8853 -0.5975 -2.9530
1.5693 -3.2596 2.7242
P As S Se
1 2 1 1
direct
0.0000 0.0000 0.0000
0.0000 0.5000 0.0000
0.5000 0.0000 0.0000
0.5000 0.5000 0.5000
0.0000 0.0000 0.5000
```

Summary:
The value obtained for the density is 4.4 Mg/m³. As for the energy above the most stable polymorph in this dataset: 0 meV/atom. Its total energy is -0.26235 Ry/atom.